Record 1
# Pr3Al8Cu3 (GGA-PBE, relaxed)
# energy relative to the elements	-0.39	eV per atom
data_Pr3Al8Cu3
_chemical_formula_sum 'Pr6 Al16 Cu6'
_cell_length_a 4.395
_cell_length_b 9.928
_cell_length_c 12.532
_cell_angle_alpha 90.00
_cell_angle_beta 90.00
_cell_angle_gamma 90.00
_symmetry_space_group_name_H-M 'I m m m'
_symmetry_Int_Tables_number 71
_symmetry_space_group_name_Hall '-I 2 2'
loop_
_atom_site_label
_atom_site_type_symbol
_atom_site_fract_x
_atom_site_fract_y
_atom_site_fract_z
Pr1 Pr 0.000 0.000 0.000
Pr2 Pr 0.000 0.000 0.311
Al1 Al 0.000 0.287 0.119
Al2 Al 0.000 0.362 0.338
Cu1 Cu 0.000 0.215 0.500
Cu2 Cu 0.000 0.500 0.000

Record 2
# RhNCl (GGA-PBE, relaxed)
# formation energy without anion corrections	0	kJ/mol of formula units
data_RhNCl
_chemical_formula_sum 'Rh4 N4 Cl4'
_cell_length_a 5.591
_cell_length_b 3.228
_cell_length_c 10.327
_cell_angle_alpha 90.00
_cell_angle_beta 90.84
_cell_angle_gamma 90.00
_symmetry_space_group_name_H-M 'C 1 2/m 1'
_symmetry_Int_Tables_number 12
_symmetry_space_group_name_Hall '-C 2y'
loop_
_atom_site_label
_atom_site_type_symbol
_atom_site_fract_x
_atom_site_fract_y
_atom_site_fract_z
Rh1 Rh 0.162 0.000 0.342
N1 N 0.002 0.500 0.566
Cl1 Cl 0.175 0.000 0.817